[1]
VASP calculation (PBE-GGA) on an optimized crystal structure of Sr2SbP.

Unit cell a=5.3373 b=5.3373 c=4.1655 alpha=90.00 beta=90.00 gamma=101.48
Last column: nearest neighbours and their distance in Å.
Sites, in units of the cell vectors:
Sr (0.5000, 0.0000, 0.0000)  2 Sr 3.38, 4 Sb 3.39, 4 P 3.39
Sr (0.0000, 0.5000, 0.0000)  2 Sr 3.38, 4 Sb 3.39, 4 P 3.39
Sb (0.0000, 0.0000, 0.5000)  2 P 3.38, 8 Sr 3.39
P (0.5000, 0.5000, 0.5000)  2 Sb 3.38, 8 Sr 3.39

Calculated density in g cm⁻³: 4.683
Uncorrected formation energy in eV per atom: -0.725
Distance to the lowest polymorph of the same formula in meV/atom: 136
Space-group type: No. 65
Fermi-level density of states in states/eV per atom: 0.498
Total moment in μB/cell: 0.0

[2]
VASP calculation (PBE-GGA) on an optimized crystal structure of Sr2SbP.

Unit cell a=3.6655 b=3.6636 c=8.6944 alpha=90.00 beta=90.00 gamma=90.00
Last column: nearest neighbours and their distance in Å.
Sites, in units of the cell vectors:
Sr (0.0000, 0.0000, 0.2078)  4 P 3.16
Sr (0.0000, 0.0000, 0.7922)  4 P 3.16
Sb (0.5000, 0.5000, 0.5000)  8 Sr 3.63, 4 Sb 3.66-3.67
P (0.5000, 0.5000, 0.0000)  8 Sr 3.16

Calculated density in g cm⁻³: 4.665
Uncorrected formation energy in eV per atom: -0.824
Distance to the lowest polymorph of the same formula in meV/atom: 37
Space-group type: No. 123
Fermi-level density of states in states/eV per atom: 0.244
Total moment in μB/cell: 0.0

[3]
VASP calculation (PBE-GGA) on an optimized crystal structure of SrSb2P.

Unit cell a=8.6260 b=8.6260 c=8.6260 alpha=26.80 beta=26.80 gamma=26.80
Last column: nearest neighbours and their distance in Å.
Sites, in units of the cell vectors:
Sb (0.7318, 0.7318, 0.7318)  3 P 2.82
Sb (0.2682, 0.2682, 0.2682)  3 P 2.82
Sr (0.5000, 0.5000, 0.5000)  6 Sb 3.43
P (0.0000, 0.0000, 0.0000)  6 Sb 2.82

Calculated density in g cm⁻³: 5.228
Uncorrected formation energy in eV per atom: -0.132
Space-group type: No. 166
Fermi-level density of states in states/eV per atom: 0.662
Total moment in μB/cell: 0.0

[4]
VASP calculation (PBE-GGA) on an optimized crystal structure of SrSbP.

Unit cell a=5.1493 b=5.1493 c=5.1493 alpha=60.00 beta=60.00 gamma=60.00
Last column: nearest neighbours and their distance in Å.
Sites, in units of the cell vectors:
P (0.0000, 0.0000, 0.0000)  4 Sr 3.15
Sb (0.5000, 0.5000, 0.5000)  4 Sr 3.15
Sr (0.2500, 0.2500, 0.2500)  4 Sb 3.15, 4 P 3.15

Calculated density in g cm⁻³: 4.134
Uncorrected formation energy in eV per atom: 0.073
Distance to the lowest polymorph of the same formula in meV/atom: 557
Space-group type: No. 216
Fermi-level density of states in states/eV per atom: 0.919
Total moment in μB/cell: 0.0